Run i
## Se2BrO (PBE)

Data for a relaxed structure of Se2BrO.

## Properties
- Fermi-level density of states: 2.3 states/eV/f.u.
- Space group: I-42d (122)

a = 5.0907 Å, b = 5.0907 Å, c = 7.8204 Å
α = 71.01°, β = 71.01°, γ = 90.00°
With the nearest neighbours (Å) after each atom.
Positions (direct):
Se 0.3750 0.5511 0.7500  2 O 2.18
Se 0.3011 0.6250 0.2500  2 O 2.18
Br 0.0000 0.0000 0.0000  4 Se 3.06
O 0.5000 0.5000 0.0000  4 Se 2.18
Br 0.7500 0.2500 0.5000  4 Se 3.06
Se 0.8750 0.6989 0.7500  2 O 2.18
O 0.2500 0.7500 0.5000  4 Se 2.18
Se 0.4489 0.1250 0.2500  2 O 2.18



Run ii
## Se2BrO (PBE)

Data for a relaxed structure of Se2BrO.

## Properties
- Fermi-level density of states: 4.0 states/eV/f.u.
- Space group: Fm-3m (225)

a = 4.6346 Å, b = 4.6346 Å, c = 4.6346 Å
α = 60.00°, β = 60.00°, γ = 60.00°
With the nearest neighbours (Å) after each atom.
Positions (direct):
Br 0.5000 0.5000 0.5000  8 Se 2.84
O 0.0000 0.0000 0.0000  8 Se 2.84
Se 0.2500 0.2500 0.2500  4 O 2.84, 4 Br 2.84
Se 0.7500 0.7500 0.7500  4 O 2.84, 4 Br 2.84



Run iii
## Se2BrO (PBE)

Data for a relaxed structure of Se2BrO.

## Properties
- Fermi-level density of states: 2.0 states/eV/f.u.
- Space group: R-3m (166)

a = 8.6613 Å, b = 8.6613 Å, c = 8.6613 Å
α = 22.67°, β = 22.67°, γ = 22.67°
With the nearest neighbours (Å) after each atom.
Positions (direct):
Br 0.5000 0.5000 0.5000  6 Se 3.12, 6 Br 3.40
O 0.0000 0.0000 0.0000  2 Se 1.80
Se 0.9288 0.9288 0.9288  1 O 1.80
Se 0.0712 0.0712 0.0712  1 O 1.80



Run iv
## Se2BrO (PBE)

Data for a relaxed structure of Se2BrO.

## Properties
- Fermi-level density of states: 3.2 states/eV/f.u.
- Space group: R-3m (166)

a = 8.5883 Å, b = 8.5883 Å, c = 8.5883 Å
α = 21.71°, β = 21.71°, γ = 21.71°
With the nearest neighbours (Å) after each atom.
Positions (direct):
Se 0.1027 0.1027 0.1027  3 O 2.47, 1 Br 2.58
O 0.5000 0.5000 0.5000  6 Se 2.47
Br 0.0000 0.0000 0.0000  2 Se 2.58
Se 0.8973 0.8973 0.8973  3 O 2.47, 1 Br 2.58



Which of them is least stable? Easy: run ii.



Run i
## SeBrO2 (PBE)

Data for a relaxed structure of SeBrO2.

## Properties
- Fermi-level density of states: 1.2 states/eV/f.u.
- Space group: R-3m (166)

a = 6.2347 Å, b = 6.2347 Å, c = 6.2347 Å
α = 32.93°, β = 32.93°, γ = 32.93°
With the nearest neighbours (Å) after each atom.
Positions (direct):
O 0.1175 0.1175 0.1175  1 Br 2.08, 3 Se 2.22
Se 0.5000 0.5000 0.5000  6 O 2.22
Br 0.0000 0.0000 0.0000  2 O 2.08
O 0.8825 0.8825 0.8825  1 Br 2.08, 3 Se 2.22



Run ii
## SeBrO2 (PBE)

Data for a relaxed structure of SeBrO2.

## Properties
- Fermi-level density of states: 2.6 states/eV/f.u.
- Space group: Fm-3m (225)

a = 4.2043 Å, b = 4.2043 Å, c = 4.2043 Å
α = 60.00°, β = 60.00°, γ = 60.00°
With the nearest neighbours (Å) after each atom.
Positions (direct):
Se 0.0000 0.0000 0.0000  8 O 2.57
O 0.7500 0.7500 0.7500  4 Se 2.57, 4 Br 2.57
O 0.2500 0.2500 0.2500  4 Se 2.57, 4 Br 2.57
Br 0.5000 0.5000 0.5000  8 O 2.57



Run iii
## SeBrO2 (PBE)

Data for a relaxed structure of SeBrO2.

## Properties
- Fermi-level density of states: 2.3 states/eV/f.u.
- Space group: R-3m (166)

a = 8.1984 Å, b = 8.1984 Å, c = 8.1984 Å
α = 21.66°, β = 21.66°, γ = 21.66°
With the nearest neighbours (Å) after each atom.
Positions (direct):
Br 0.5000 0.5000 0.5000  6 O 2.90, 6 Br 3.08
Se 0.0000 0.0000 0.0000  2 O 1.71
O 0.0712 0.0712 0.0712  1 Se 1.71
O 0.9288 0.9288 0.9288  1 Se 1.71



Run iv
## SeBrO2 (PBE)

Data for a relaxed structure of SeBrO2.

## Properties
- Fermi-level density of states: 6.5 states/eV/f.u.
- Space group: I-42d (122)

a = 6.1140 Å, b = 6.1140 Å, c = 6.1165 Å
α = 60.01°, β = 60.01°, γ = 90.00°
With the nearest neighbours (Å) after each atom.
Positions (direct):
Br 0.0000 0.0000 0.0000  12 O 3.58-3.59, 4 Se 3.75, 4 Br 3.75
O 0.3750 0.6259 0.7500  2 Se 1.87
O 0.8750 0.6241 0.7500  2 Se 1.87
O 0.3759 0.6250 0.2500  2 Se 1.87
Se 0.5000 0.5000 0.0000  4 O 1.87
Br 0.7500 0.2500 0.5000  12 O 3.58-3.59, 4 Se 3.75, 4 Br 3.75
O 0.3741 0.1250 0.2500  2 Se 1.87
Se 0.2500 0.7500 0.5000  4 O 1.87



Which of them is least stable? Easy: run ii.



Run i
## SiSeBr2O (PBE)

Data for a relaxed structure of SiSeBr2O.

## Properties
- Fermi-level density of states: 0.8 states/eV/f.u.
- Space group: P4/mmm (123)

a = 4.7750 Å, b = 4.7750 Å, c = 4.4630 Å
α = 90.00°, β = 90.00°, γ = 90.00°
With the nearest neighbours (Å) after each atom.
Positions (direct):
Br 0.5000 0.0000 0.0000  2 O 2.39
Br 0.0000 0.5000 0.0000  2 O 2.39
O 0.0000 0.0000 0.0000  2 Se 2.23, 4 Br 2.39
Se 0.0000 0.0000 0.5000  2 O 2.23
Si 0.5000 0.5000 0.5000  8 Br 3.27, 4 Se 3.38



Run ii
## SiSeBr2O (PBE)

Data for a relaxed structure of SiSeBr2O.

## Properties
- Fermi-level density of states: 5.5 states/eV/f.u.
- Space group: P4/mmm (123)

a = 4.9924 Å, b = 4.9924 Å, c = 4.9476 Å
α = 90.00°, β = 90.00°, γ = 90.00°
With the nearest neighbours (Å) after each atom.
Positions (direct):
Se 0.0000 0.0000 0.5000  2 Si 2.47
Br 0.0000 0.5000 0.0000  2 Si 2.50
O 0.5000 0.5000 0.5000  8 Br 3.51, 4 Se 3.53
Br 0.5000 0.0000 0.0000  2 Si 2.50
Si 0.0000 0.0000 0.0000  2 Se 2.47, 4 Br 2.50



Which of them is least stable? Easy: run ii.



Run i
## SiSe2BrO (PBE)

Data for a relaxed structure of SiSe2BrO.

## Properties
- Fermi-level density of states: 3.5 states/eV/f.u.
- Space group: P4/mmm (123)

a = 4.1446 Å, b = 4.1446 Å, c = 5.9963 Å
α = 90.00°, β = 90.00°, γ = 90.00°
With the nearest neighbours (Å) after each atom.
Positions (direct):
Se 0.5000 0.0000 0.0000  2 O 2.07
Br 0.0000 0.0000 0.5000  4 Si 2.93, 2 O 3.00
Se 0.0000 0.5000 0.0000  2 O 2.07
Si 0.5000 0.5000 0.5000  4 Br 2.93
O 0.0000 0.0000 0.0000  4 Se 2.07



Run ii
## SiSe2BrO (PBE)

Data for a relaxed structure of SiSe2BrO.

## Properties
- Fermi-level density of states: 7.2 states/eV/f.u.
- Space group: P4/mmm (123)

a = 4.8348 Å, b = 4.8348 Å, c = 4.9445 Å
α = 90.00°, β = 90.00°, γ = 90.00°
With the nearest neighbours (Å) after each atom.
Positions (direct):
Se 0.5000 0.0000 0.0000  2 Si 2.42
Se 0.0000 0.5000 0.0000  2 Si 2.42
O 0.5000 0.5000 0.5000  4 Br 3.42, 8 Se 3.46
Si 0.0000 0.0000 0.0000  4 Se 2.42, 2 Br 2.47
Br 0.0000 0.0000 0.5000  2 Si 2.47



Which of them is least stable? Easy: run ii.